No. 1
Compound: AcTbHgPt
Source: Alexandria
Functional: PBE
Structure: relaxed

Lattice parameters (Å, degrees): 7.5528 7.5528 7.5528 90.00 90.00 90.00
With the nearest neighbours (Å) after each atom.
Space group F-43m (No. 216)
Inequivalent atoms, fractional coordinates:
Ac  0.0000  0.0000  0.0000 (multiplicity 4)  4 Hg 3.27, 4 Pt 3.27
Tb  0.0000  0.0000  0.5000 (multiplicity 4)  4 Hg 3.27, 4 Pt 3.27
Hg  0.2500  0.2500  0.2500 (multiplicity 4)  4 Ac 3.27, 4 Tb 3.27
Pt  0.2500  0.2500  0.7500 (multiplicity 4)  4 Ac 3.27, 4 Tb 3.27

Properties
The total magnetization comes out at 0.000 μB/cell. For the uncorrected energy, the calculation gives -4.46 eV per atom.

No. 2
Compound: AcThHgPt
Source: Alexandria
Functional: PBE
Structure: relaxed

Lattice parameters (Å, degrees): 7.6143 7.6143 7.6143 90.00 90.00 90.00
With the nearest neighbours (Å) after each atom.
Space group F-43m (No. 216)
Inequivalent atoms, fractional coordinates:
Ac  0.0000  0.0000  0.0000 (multiplicity 4)  4 Hg 3.30, 4 Pt 3.30
Th  0.0000  0.0000  0.5000 (multiplicity 4)  4 Hg 3.30, 4 Pt 3.30
Hg  0.2500  0.2500  0.7500 (multiplicity 4)  4 Ac 3.30, 4 Th 3.30
Pt  0.2500  0.2500  0.2500 (multiplicity 4)  4 Ac 3.30, 4 Th 3.30

Properties
The total magnetization comes out at 0.000 μB/cell. For the uncorrected energy, the calculation gives -5.03 eV per atom.

No. 3
Compound: Ac2TlHgPt
Source: Alexandria
Functional: PBE
Structure: relaxed

Lattice parameters (Å, degrees): 8.2066 4.7527 8.2839 90.00 109.60 90.00
With the nearest neighbours (Å) after each atom.
Space group P2_1/m (No. 11)
Inequivalent atoms, fractional coordinates:
Ac  0.1260  0.2500  0.3381 (multiplicity 2)  3 Pt 3.16-3.33, 2 Tl 3.53
Ac  0.2910  0.2500  0.9667 (multiplicity 2)  3 Pt 3.11-3.15
Tl  0.3097  0.7500  0.6628 (multiplicity 2)  3 Hg 3.09-3.33
Hg  0.4452  0.7500  0.3259 (multiplicity 2)  1 Pt 2.88, 2 Tl 3.09
Pt  0.1007  0.7500  0.0788 (multiplicity 2)  1 Hg 2.88, 2 Pt 2.94, 5 Ac 3.11-3.16

Properties
The total magnetization comes out at 0.000 μB/cell. For the uncorrected energy, the calculation gives -4.04 eV per atom.

No. 4
Compound: AcTmHgPt
Source: Alexandria
Functional: PBE
Structure: relaxed

Lattice parameters (Å, degrees): 7.5056 7.5056 7.5056 90.00 90.00 90.00
With the nearest neighbours (Å) after each atom.
Space group F-43m (No. 216)
Inequivalent atoms, fractional coordinates:
Ac  0.0000  0.0000  0.0000 (multiplicity 4)  4 Hg 3.25, 4 Pt 3.25
Tm  0.0000  0.0000  0.5000 (multiplicity 4)  4 Pt 3.25, 4 Hg 3.25
Hg  0.2500  0.2500  0.7500 (multiplicity 4)  4 Ac 3.25, 4 Tm 3.25
Pt  0.2500  0.2500  0.2500 (multiplicity 4)  4 Ac 3.25, 4 Tm 3.25

Properties
The total magnetization comes out at 0.000 μB/cell. For the uncorrected energy, the calculation gives -4.42 eV per atom.

No. 5
Compound: AcZnHgPt3
Source: Alexandria
Functional: PBE
Structure: relaxed

Lattice parameters (Å, degrees): 7.1835 12.7895 5.8887 90.00 90.00 90.00
With the nearest neighbours (Å) after each atom.
Space group Cmcm (No. 63)
Inequivalent atoms, fractional coordinates:
Ac  0.0000  0.2016  0.2500 (multiplicity 4)  2 Zn 3.10, 6 Pt 3.27-3.30, 1 Hg 3.27
Zn  0.0000  0.1261  0.7500 (multiplicity 4)  5 Pt 2.45-2.57
Hg  0.0000  0.4571  0.2500 (multiplicity 4)  5 Pt 2.73-2.88
Pt  0.0000  0.3174  0.7500 (multiplicity 4)  1 Zn 2.45
Pt  0.1898  0.0000  0.0000 (multiplicity 8)  2 Zn 2.57, 2 Hg 2.73, 1 Pt 2.73

Properties
The total magnetization comes out at 0.000 μB/cell. For the uncorrected energy, the calculation gives -4.39 eV per atom.

No. 6
Compound: AcPuHg4
Source: Alexandria
Functional: PBE
Structure: relaxed

Lattice parameters (Å, degrees): 4.0576 5.8475 8.1273 109.74 90.01 110.12
With the nearest neighbours (Å) after each atom.
Space group P-1 (No. 2)
Inequivalent atoms, fractional coordinates:
Ac  0.0000  0.0000  0.0000 (multiplicity 1)  10 Hg 3.40-3.45
Pu  0.0000  0.0000  0.5000 (multiplicity 1)  10 Hg 3.29-3.35
Hg  0.3277  0.6542  0.6516 (multiplicity 2)  5 Hg 3.16-3.50, 3 Pu 3.30-3.35, 2 Ac 3.44-3.45
Hg  0.3320  0.6622  0.1800 (multiplicity 2)  5 Hg 3.27-3.50, 2 Pu 3.29, 3 Ac 3.40-3.41

Properties
The total magnetization comes out at 6.058 μB/cell. For the uncorrected energy, the calculation gives -3.53 eV per atom.

Please write out number 4 again, unchanged.
Compound: AcTmHgPt
Source: Alexandria
Functional: PBE
Structure: relaxed

Lattice parameters (Å, degrees): 7.5056 7.5056 7.5056 90.00 90.00 90.00
With the nearest neighbours (Å) after each atom.
Space group F-43m (No. 216)
Inequivalent atoms, fractional coordinates:
Ac  0.0000  0.0000  0.0000 (multiplicity 4)  4 Hg 3.25, 4 Pt 3.25
Tm  0.0000  0.0000  0.5000 (multiplicity 4)  4 Pt 3.25, 4 Hg 3.25
Hg  0.2500  0.2500  0.7500 (multiplicity 4)  4 Ac 3.25, 4 Tm 3.25
Pt  0.2500  0.2500  0.2500 (multiplicity 4)  4 Ac 3.25, 4 Tm 3.25

Properties
The total magnetization comes out at 0.000 μB/cell. For the uncorrected energy, the calculation gives -4.42 eV per atom.